This record from Alexandria describes CsVF3 after structural relaxation. The functional is PBE with a Hubbard U.

```
data_CsVF3
_cell_length_a 4.2387
_cell_length_b 4.3766
_cell_length_c 10.0100
_cell_angle_alpha 90.00
_cell_angle_beta 101.98
_cell_angle_gamma 90.00
_symmetry_space_group_name_H-M 'P 1 21/m 1'
_symmetry_Int_Tables_number 11
_symmetry_space_group_name_Hall '-P 2yb'
loop_
_atom_site_label
_atom_site_type_symbol
_atom_site_fract_x
_atom_site_fract_y
_atom_site_fract_z
Cs1 Cs 0.1682 0.2500 0.3413
V1 V 0.4408 0.2500 0.8803
F1 F 0.0643 0.7500 0.1302
F2 F 0.3350 0.2500 0.6647
F3 F 0.4504 0.7500 0.8981
```

Properties
crystal system = monoclinic
electronic total energy = -5.47 eV per atom